[1]
Entry from Alexandria via LeMat-Bulk: an optimized crystal structure of CrNiSe2 (PBE-GGA).

Cell and atoms, written as CIF:
```
data_CrNiSe2
_chemical_formula_sum 'Cr1 Ni1 Se2'
_cell_length_a 3.372
_cell_length_b 3.372
_cell_length_c 6.537
_cell_angle_alpha 90.00
_cell_angle_beta 90.00
_cell_angle_gamma 90.00
_space_group_name_H-M_alt 'P 1'
_space_group_IT_number 1
loop_
_space_group_symop_operation_xyz
'x,y,z'
loop_
_atom_site_label
_atom_site_type_symbol
_atom_site_fract_x
_atom_site_fract_y
_atom_site_fract_z
Se1 Se 0.000 0.000 0.873
Ni1 Ni 0.500 0.500 0.742
Se2 Se 0.500 0.500 0.375
Cr1 Cr 0.000 0.000 0.510
```

The excess energy over the best structure of this formula in the dataset comes out at 0.207 eV per formula unit. Its crystal system is tetragonal.

[2]
Entry from Alexandria via LeMat-Bulk: an optimized crystal structure of LiHg2O3 (PBE-GGA).

Cell and atoms, written as CIF:
```
data_LiHg2O3
_chemical_formula_sum 'Li2 Hg4 O6'
_cell_length_a 4.713
_cell_length_b 6.937
_cell_length_c 6.937
_cell_angle_alpha 129.96
_cell_angle_beta 90.00
_cell_angle_gamma 90.00
_space_group_name_H-M_alt 'P 1'
_space_group_IT_number 1
loop_
_space_group_symop_operation_xyz
'x,y,z'
loop_
_atom_site_label
_atom_site_type_symbol
_atom_site_fract_x
_atom_site_fract_y
_atom_site_fract_z
O1 O 0.994 0.583 0.913
O2 O 0.494 0.087 0.417
O3 O 0.494 0.417 0.087
O4 O 0.458 0.821 0.821
Li1 Li 0.023 0.845 0.845
Li2 Li 0.523 0.155 0.155
Hg1 Hg 0.494 0.897 0.573
O5 O 0.994 0.913 0.583
Hg2 Hg 0.494 0.573 0.897
Hg3 Hg 0.994 0.103 0.427
O6 O 0.958 0.179 0.179
Hg4 Hg 0.994 0.427 0.103
```

Its crystal system is orthorhombic.

no.,uncorrected formation energy (eV per atom)
1,-0.30
2,-0.53